This record from Alexandria via LeMat-Bulk describes a crystal of CsCd4As3 relaxed with PBEsol. The functional is SCAN.

The space group is P4/mmm (No. 123) and the conventional cell measures 4.474, 4.474 and 10.660 Å, with angles of 90.00, 90.00 and 90.00 degrees. The distinct sites, in fractional coordinates, are Cs at (0.000, 0.000, 0.000), Cd at (0.000, 0.500, 0.335), As at (0.000, 0.000, 0.500) and As at (0.500, 0.500, 0.193).

For the calculated formation energy, the calculation gives -0.3238 eV/atom.



This record from Alexandria via LeMat-Bulk describes a crystal of CdCuAs2 relaxed with PBEsol. The functional is SCAN.

The space group is Immm (No. 71) and the conventional cell measures 3.726, 4.396 and 9.618 Å, with angles of 90.00, 90.00 and 90.00 degrees. The distinct sites, in fractional coordinates, are Cd at (0.000, 0.000, 0.000), Cu at (0.000, 0.000, 0.500) and As at (0.000, 0.500, 0.164).

For the calculated formation energy, the calculation gives 0.2167 eV/atom.



This record from Alexandria via LeMat-Bulk describes a crystal of SrCd2CuAs relaxed with PBEsol. The functional is SCAN.

The space group is P4/mmm (No. 123) and the conventional cell measures 5.400, 5.400 and 4.490 Å, with angles of 90.00, 90.00 and 90.00 degrees. The distinct sites, in fractional coordinates, are Sr at (0.000, 0.000, 0.000), Cd at (0.000, 0.500, 0.500), Cu at (0.500, 0.500, 0.000) and As at (0.500, 0.500, 0.500).

For the calculated formation energy, the calculation gives 0.0703 eV/atom.



This record from Alexandria via LeMat-Bulk describes a crystal of Cd2AsF relaxed with PBEsol. The functional is SCAN.

The space group is Fm-3m (No. 225) and the conventional cell measures 6.497, 6.497 and 6.497 Å, with angles of 90.00, 90.00 and 90.00 degrees. The distinct sites, in fractional coordinates, are Cd at (0.250, 0.250, 0.250), As at (0.000, 0.000, 0.000) and F at (0.000, 0.000, 0.500).

For the raw formation energy, the calculation gives -0.746 eV/atom.



This record from Alexandria via LeMat-Bulk describes a crystal of CdAsF2 relaxed with PBEsol. The functional is SCAN.

The space group is R-3m (No. 166, hexagonal axes) and the conventional cell measures 2.9405, 2.9405 and 24.2874 Å, with angles of 90.00, 90.00 and 120.00 degrees. The distinct sites, in fractional coordinates, are Cd at (0.0000, 0.0000, 0.0000), As at (0.0000, 0.0000, 0.5000) and F at (0.0000, 0.0000, 0.4197).

For the energy above the most stable polymorph in this dataset, the calculation gives 0 meV per atom. For the raw formation energy, the calculation gives -1.294 eV/atom.



This record from Alexandria via LeMat-Bulk describes a crystal of CdAsN2F relaxed with PBEsol. The functional is SCAN.

The space group is P4/mmm (No. 123) and the conventional cell measures 3.831, 3.831 and 3.978 Å, with angles of 90.00, 90.00 and 90.00 degrees. The distinct sites, in fractional coordinates, are Cd at (0.000, 0.000, 0.000), As at (0.500, 0.500, 0.500), N at (0.000, 0.500, 0.500) and F at (0.500, 0.500, 0.000).

For the raw formation energy, the calculation gives 0.329 eV/atom.